DFT (PBE+U) results for a relaxed PaMnSnO6 crystal.

Geometry as POSCAR:
```
PaMnSnO6
1.0
5.509 0.000 0.000
-2.754 4.771 0.000
0.000 0.000 8.985
Pa Mn Sn O
2 2 2 12
Direct
0.333 0.667 0.250 Pa
0.667 0.333 0.750 Pa
0.000 0.000 0.000 Mn
0.000 0.000 0.500 Mn
0.333 0.667 0.750 Sn
0.667 0.333 0.250 Sn
0.011 0.336 0.627 O
0.011 0.675 0.873 O
0.325 0.336 0.873 O
0.325 0.989 0.627 O
0.336 0.011 0.127 O
0.336 0.325 0.373 O
0.664 0.675 0.627 O
0.664 0.989 0.873 O
0.675 0.011 0.373 O
0.675 0.664 0.127 O
0.989 0.325 0.127 O
0.989 0.664 0.373 O
```

Properties
total magnetization: 8.00 Bohr magnetons per cell
calculated total energy: -7.7672 eV/atom